(1)
This record from Alexandria describes BaSrYNbO6 after structural relaxation. The functional is PBE. Values from VASP.

```
&SYSTEM
  ibrav = 0, nat = 10, ntyp = 5
/
ATOMIC_SPECIES
O 16.00 O.upf
Nb 92.91 Nb.upf
Sr 87.62 Sr.upf
Ba 137.33 Ba.upf
Y 88.91 Y.upf
ATOMIC_POSITIONS crystal
O 0.2372 0.2372 0.7628
O 0.2372 0.7628 0.2372
O 0.7628 0.2372 0.7628
O 0.2372 0.7628 0.7628
O 0.7628 0.2372 0.2372
O 0.7628 0.7628 0.2372
Nb 0.0000 0.0000 0.0000
Sr 0.7500 0.7500 0.7500
Ba 0.2500 0.2500 0.2500
Y 0.5000 0.5000 0.5000
CELL_PARAMETERS angstrom
0.0000 4.2531 4.2531
4.2531 0.0000 4.2531
4.2531 4.2531 0.0000
```

Summary:
energy above the lowest structure with this stoichiometry = 0.0273 eV per atom
DOS(E_F) = 0.0000 states/eV per atom

***

(2)
This record from Alexandria describes BaTa2NbO8 after structural relaxation. The functional is PBE. Values from VASP.

```
&SYSTEM
  ibrav = 0, nat = 12, ntyp = 4
/
ATOMIC_SPECIES
O 16.00 O.upf
Ba 137.33 Ba.upf
Ta 180.95 Ta.upf
Nb 92.91 Nb.upf
ATOMIC_POSITIONS crystal
O 0.6853 0.8434 0.6731
O 0.1566 0.8419 0.6731
O 0.3333 0.6667 0.9971
O 0.8434 0.1581 0.3269
O 0.6667 0.3333 0.0029
O 0.8419 0.6853 0.3269
O 0.1581 0.3147 0.6731
O 0.3147 0.1566 0.3269
Ba 0.0000 0.0000 0.0000
Ta 0.6667 0.3333 0.2501
Ta 0.3333 0.6667 0.7499
Nb 0.0000 0.0000 0.5000
CELL_PARAMETERS angstrom
5.9126 0.0000 0.0000
-2.9563 5.1204 0.0000
0.0000 0.0000 7.3188
```

Summary:
DOS(E_F) = 0.3674 states/eV per atom

***

(3)
This record from Alexandria describes Ba2Ta3NbO12 after structural relaxation. The functional is PBE. Values from VASP.

```
&SYSTEM
  ibrav = 0, nat = 18, ntyp = 4
/
ATOMIC_SPECIES
Ba 137.33 Ba.upf
O 16.00 O.upf
Ta 180.95 Ta.upf
Nb 92.91 Nb.upf
ATOMIC_POSITIONS crystal
Ba 0.6794 0.6794 0.6794
Ba 0.3206 0.3206 0.3206
O 0.9480 0.3143 0.3143
O 0.0672 0.0672 0.6820
O 0.3143 0.3143 0.9480
O 0.3180 0.9328 0.9328
O 0.6857 0.6857 0.0520
O 0.3143 0.9480 0.3143
O 0.0520 0.6857 0.6857
O 0.6857 0.0520 0.6857
O 0.6820 0.0672 0.0672
O 0.9328 0.3180 0.9328
O 0.0672 0.6820 0.0672
O 0.9328 0.9328 0.3180
Ta 0.0000 0.5000 0.0000
Ta 0.0000 0.0000 0.5000
Ta 0.5000 0.0000 0.0000
Nb 0.0000 0.0000 0.0000
CELL_PARAMETERS angstrom
7.4826 0.0212 0.0150
3.7137 6.4960 0.0150
3.7137 2.1617 6.1258
```

Summary:
DOS(E_F) = 0.0000 states/eV per atom

***

(4)
This record from Alexandria describes Ba3TaNb4O15 after structural relaxation. The functional is PBE. Values from VASP.

```
&SYSTEM
  ibrav = 0, nat = 46, ntyp = 4
/
ATOMIC_SPECIES
O 16.00 O.upf
Ba 137.33 Ba.upf
Nb 92.91 Nb.upf
Ta 180.95 Ta.upf
ATOMIC_POSITIONS crystal
O 0.6405 0.5687 0.5000
O 0.5774 0.7086 0.0000
O 0.2188 0.7188 0.5000
O 0.7914 0.9226 0.0000
O 0.0774 0.7914 0.0000
O 0.4313 0.6405 0.5000
O 0.5070 0.1553 0.5000
O 0.0687 0.1405 0.5000
O 0.4930 0.8447 0.5000
O 0.8595 0.0687 0.5000
O 0.9226 0.2086 0.0000
O 0.7812 0.2812 0.5000
O 0.3447 0.9930 0.5000
O 0.6553 0.0070 0.5000
O 0.7188 0.7812 0.5000
O 0.8447 0.5070 0.5000
O 0.9313 0.8595 0.5000
O 0.5000 0.0000 0.0000
O 0.3595 0.4313 0.5000
O 0.1405 0.9313 0.5000
O 0.7086 0.4226 0.0000
O 0.2086 0.0774 0.0000
O 0.5687 0.3595 0.5000
O 0.4226 0.2914 0.0000
O 0.2914 0.5774 0.0000
O 0.1553 0.4930 0.5000
O 0.0070 0.3447 0.5000
O 0.2812 0.2188 0.5000
O 0.9930 0.6553 0.5000
O 0.0000 0.5000 0.0000
Ba 0.6682 0.1682 0.0000
Ba 0.5000 0.5000 0.0000
Ba 0.0000 0.0000 0.0000
Ba 0.3318 0.8318 0.0000
Ba 0.1682 0.3318 0.0000
Ba 0.8318 0.6682 0.0000
Nb 0.9229 0.2127 0.5000
Nb 0.7127 0.4229 0.5000
Nb 0.2127 0.0771 0.5000
Nb 0.5771 0.7127 0.5000
Nb 0.0771 0.7873 0.5000
Nb 0.2873 0.5771 0.5000
Nb 0.4229 0.2873 0.5000
Nb 0.7873 0.9229 0.5000
Ta 0.5000 0.0000 0.5000
Ta 0.0000 0.5000 0.5000
CELL_PARAMETERS angstrom
-9.0349 8.2127 -3.9327
-8.6230 -5.9372 7.4120
0.9196 2.4723 3.0502
```

Summary:
DOS(E_F) = 0.0868 states/eV per atom

***

no.,ΔE_f (raw) (meV/atom)
1,-3006
2,-2710
3,-2857
4,-2806